Entry 1:
This record from the Alexandria database describes LiNiAsBr2 after structural relaxation. The functional is PBE-GGA.

The value obtained for the total magnetic moment is 0.03 μB per atom. The formation energy from raw total energies comes out at -0.9 eV per formula unit.

It has space group P4/mmm (No. 123), with a = 5.324 Å, b = 5.324 Å, c = 4.392 Å, α = 90.00°, β = 90.00° and γ = 90.00°. The asymmetric unit holds Li at (0.000, 0.000, 0.000), Ni at (0.500, 0.500, 0.500), As at (0.500, 0.500, 0.000) and Br at (0.000, 0.500, 0.500).



Entry 2:
This record from the Alexandria database describes MgSb2RuPb after structural relaxation. The functional is PBE-GGA.

The value obtained for the total magnetic moment is 0.00 μB per atom. The formation energy from raw total energies comes out at 0.8 eV per formula unit.

It has space group P4/mmm (No. 123), with a = 5.139 Å, b = 5.139 Å, c = 5.034 Å, α = 90.00°, β = 90.00° and γ = 90.00°. The asymmetric unit holds Mg at (0.000, 0.000, 0.000), Sb at (0.000, 0.500, 0.500), Ru at (0.000, 0.000, 0.500) and Pb at (0.500, 0.500, 0.000).



Entry 3:
This record from the Alexandria database describes Mg2PaAu after structural relaxation. The functional is PBE-GGA.

The value obtained for the total magnetic moment is 0.00 μB per atom. The electronic total energy is -15.7 eV/f.u.

It has space group R-3m (No. 166, hexagonal axes), with a = 3.0717 Å, b = 3.0717 Å, c = 32.7776 Å, α = 90.00°, β = 90.00° and γ = 120.00°. The asymmetric unit holds Mg at (0.0000, 0.0000, 0.0987), Pa at (0.0000, 0.0000, 0.0000) and Au at (0.0000, 0.0000, 0.5000).



Entry 4:
This record from the Alexandria database describes U2Tc2Sn after structural relaxation. The functional is PBE-GGA.

The value obtained for the total magnetic moment is 0.26 μB per atom. The electronic total energy is -47.8 eV/f.u.

It has space group C2/m (No. 12), with a = 11.722 Å, b = 3.325 Å, c = 9.945 Å, α = 90.00°, β = 90.94° and γ = 90.00°. The asymmetric unit holds U at (0.060, 0.000, 0.167), U at (0.169, 0.000, 0.459), Tc at (0.030, 0.500, 0.653), Tc at (0.127, 0.500, 0.996) and Sn at (0.206, 0.000, 0.780).



Entry 5:
This record from the Alexandria database describes LaSi2Rh3 after structural relaxation. The functional is PBE-GGA.

The value obtained for the total magnetic moment is 0.00 μB per atom. The formation energy from raw total energies comes out at -6.2 eV per formula unit.

It has space group P6/mmm (No. 191), with a = 5.6522 Å, b = 5.6522 Å, c = 3.6625 Å, α = 90.00°, β = 90.00° and γ = 120.00°. The asymmetric unit holds La at (0.0000, 0.0000, 0.0000), Si at (0.3333, 0.6667, 0.0000) and Rh at (0.0000, 0.5000, 0.5000).



Entry 6:
This record from the Alexandria database describes LiCeNiIr after structural relaxation. The functional is PBE-GGA.

The value obtained for the total magnetic moment is 0.00 μB per atom. The electronic total energy is -23.7 eV/f.u.

It has space group F-43m (No. 216), with a = 6.483 Å, b = 6.483 Å, c = 6.483 Å, α = 90.00°, β = 90.00° and γ = 90.00°. The asymmetric unit holds Li at (0.000, 0.000, 0.000), Ce at (0.000, 0.000, 0.500), Ni at (0.250, 0.250, 0.750) and Ir at (0.250, 0.250, 0.250).